Ti2NiPd7 | GGA-PBE | optimized geometry

- total DFT energy (no corrections) (eV per atom) = -5.782
- total moment (μB per atom) = 0.0579
- ΔE_f (meV per atom) = 10

```
Ti2NiPd7
1.0
3.640 -8.352 0.000
3.640 8.352 0.000
0.000 0.000 2.781
Ti Ni Pd
2 1 7
direct
0.159 0.841 0.000 Ti
0.841 0.159 0.000 Ti
0.500 0.500 0.500 Ni
0.000 0.000 0.000 Pd
0.202 0.398 0.000 Pd
0.287 0.713 0.500 Pd
0.398 0.202 0.000 Pd
0.602 0.798 0.000 Pd
0.713 0.287 0.500 Pd
0.798 0.602 0.000 Pd
```